No. 1
An optimized crystal structure of SrZrIn2. Source: the Alexandria database, functional PBE.

a b c (Å): 3.3794 3.3794 9.2436
angles (deg): 90.00 90.00 90.00
With the nearest neighbours (Å) after each atom.
Space group P4/mmm (No. 123)
Symmetry-distinct sites (fractional):
Sr 0.0000 0.0000 0.0000  4 Sr 3.38, 8 In 3.49
Zr 0.0000 0.0000 0.5000  8 In 3.17, 4 Zr 3.38
In 0.5000 0.5000 0.2754  4 Zr 3.17, 4 In 3.38, 4 Sr 3.49

=====

No. 2
An optimized crystal structure of SrZrIn2. Source: the Alexandria database, functional PBE.

a b c (Å): 9.7543 3.4506 7.0703
angles (deg): 90.00 98.16 90.00
With the nearest neighbours (Å) after each atom.
Space group C2/m (No. 12)
Symmetry-distinct sites (fractional):
Sr 0.0000 0.0000 0.0000  6 In 3.42-3.49, 2 Sr 3.45
Zr 0.0000 0.5000 0.5000  6 In 3.02-3.12
In 0.2456 0.0000 0.6988  3 Zr 3.02-3.12, 2 In 3.31

=====

No. 3
An optimized crystal structure of SrZrIn2. Source: the Alexandria database, functional PBE.

a b c (Å): 5.2040 5.2040 20.3643
angles (deg): 90.00 90.00 90.00
With the nearest neighbours (Å) after each atom.
Space group I-42d (No. 122)
Symmetry-distinct sites (fractional):
Sr 0.0000 0.0000 0.0000  4 In 3.38, 4 Zr 3.68
Zr 0.0000 0.0000 0.5000  4 In 2.97
In 0.1541 0.2500 0.6250  2 Zr 2.97, 2 In 3.06

=====

No. 4
An optimized crystal structure of Sr3ZrIn. Source: the Alexandria database, functional PBE.

Summary:
Energy above the most stable polymorph in this dataset ... 118.0 meV/atom

a b c (Å): 6.0317 6.0317 6.0317
angles (deg): 90.00 90.00 90.00
With the nearest neighbours (Å) after each atom.
Space group Pm-3m (No. 221)
Symmetry-distinct sites (fractional):
Sr 0.0000 0.0000 0.5000  2 Zr 3.02
Zr 0.0000 0.0000 0.0000  6 Sr 3.02
In 0.5000 0.5000 0.5000  12 Sr 4.27

=====

No. 5
An optimized crystal structure of SrZrIn2. Source: the Alexandria database, functional PBE.

a b c (Å): 7.1872 8.8597 3.3058
angles (deg): 90.00 90.00 90.00
With the nearest neighbours (Å) after each atom.
Space group Cmmm (No. 65)
Symmetry-distinct sites (fractional):
Sr 0.0000 0.0000 0.0000  8 In 3.30, 2 Sr 3.31, 2 Zr 3.59
Zr 0.0000 0.5000 0.0000  8 In 3.30, 2 Zr 3.31, 2 Sr 3.59
In 0.2500 0.2500 0.5000  4 Zr 3.30, 4 Sr 3.30, 4 In 3.31-3.59

=====

No. 6
An optimized crystal structure of SrZrIn2. Source: the Alexandria database, functional PBE.

a b c (Å): 3.6379 5.3308 11.1703
angles (deg): 90.00 90.00 90.00
With the nearest neighbours (Å) after each atom.
Space group Imm2 (No. 44)
Symmetry-distinct sites (fractional):
Sr 0.0000 0.0000 0.0000  6 In 3.23-3.45, 2 Zr 3.54
Zr 0.0000 0.5000 0.7715  6 In 3.25-3.29, 2 Sr 3.54, 2 Zr 3.64
In 0.0000 0.0000 0.5164  2 In 3.07, 4 Sr 3.23, 2 Zr 3.29
In 0.0000 0.5000 0.2376  2 In 3.07, 4 Zr 3.25

=====

No. 7
An optimized crystal structure of SrZrIn2. Source: the Alexandria database, functional PBE.

a b c (Å): 4.5234 4.5234 10.7176
angles (deg): 90.00 90.00 90.00
With the nearest neighbours (Å) after each atom.
Space group I-4m2 (No. 119)
Symmetry-distinct sites (fractional):
Sr 0.0000 0.0000 0.0000  8 In 3.20-3.51, 4 Zr 3.51
Zr 0.0000 0.5000 0.7500  8 In 3.20-3.51, 4 Sr 3.51
In 0.0000 0.0000 0.5000  4 Sr 3.20, 4 Zr 3.51, 4 In 3.51
In 0.0000 0.5000 0.2500  4 Zr 3.20, 4 In 3.51, 4 Sr 3.51

=====

No. 8
An optimized crystal structure of SrZrIn. Source: the Alexandria database, functional PBE.

Summary:
Energy above the most stable polymorph in this dataset ... 1183.0 meV/atom

a b c (Å): 7.4432 7.4432 7.4432
angles (deg): 90.00 90.00 90.00
With the nearest neighbours (Å) after each atom.
Space group F-43m (No. 216)
Symmetry-distinct sites (fractional):
Sr 0.0000 0.0000 0.0000  4 Zr 3.22, 4 In 3.22
Zr 0.2500 0.2500 0.2500  4 Sr 3.22
In 0.2500 0.2500 0.7500  4 Sr 3.22

=====

Calculated values (meV per atom) of ΔE_f for the records, taken in order: -273; -84; 295; 763; -160; -44; 2; 1016.